[1]
Below is a relaxed Mg3Cd3Ag4 crystal, with properties calculated at the PBE-GGA level.

a b c (Å): 3.458 10.752 10.829
angles (deg): 90.00 90.00 90.00
Space group Amm2 (No. 38)
One atom of each set of equivalent atoms:
Mg: 0.000 0.000 0.000
Mg: 0.000 0.159 0.662
Cd: 0.000 0.000 0.322
Cd: 0.500 0.249 0.911
Ag: 0.500 0.000 0.528
Ag: 0.500 0.000 0.798
Ag: 0.500 0.139 0.158

Output
Volume in Å³ per cell: 403
Uncorrected energy in eV for the cell shown: -40.3

---

[2]
Below is a relaxed Mg2CdAg7 crystal, with properties calculated at the PBE-GGA level.

a b c (Å): 7.463 14.899 4.268
angles (deg): 90.00 90.00 90.00
Space group Cmmm (No. 65)
One atom of each set of equivalent atoms:
Mg: 0.000 0.197 0.000
Cd: 0.000 0.500 0.500
Ag: 0.000 0.000 0.000
Ag: 0.000 0.310 0.500
Ag: 0.188 0.398 0.000

Output
Volume in Å³ per cell: 475
Uncorrected energy in eV for the cell shown: -44.0

---

[3]
Below is a relaxed MgCd2Ag6 crystal, with properties calculated at the PBE-GGA level.

a b c (Å): 4.846 8.215 8.766
angles (deg): 90.00 90.00 90.00
Space group Immm (No. 71)
One atom of each set of equivalent atoms:
Mg: 0.000 0.000 0.000
Cd: 0.000 0.000 0.334
Ag: 0.000 0.311 0.166
Ag: 0.000 0.319 0.500

Output
Volume in Å³ per cell: 349
Uncorrected energy in eV for the cell shown: -41.2

---

[4]
Below is a relaxed Mg2Cd2Ag crystal, with properties calculated at the PBE-GGA level.

a b c (Å): 8.453 7.271 7.542
angles (deg): 90.00 112.54 90.00
Space group C2/c (No. 15)
One atom of each set of equivalent atoms:
Mg: 0.219 0.081 0.349
Cd: 0.051 0.219 0.957
Ag: 0.000 0.424 0.250

Output
Volume in Å³ per cell: 428
Uncorrected energy in eV for the cell shown: -33.0